Compound: BaHfTc2Os
Source: Alexandria via LeMat-Bulk
Functional: PBEsol
Structure: relaxed

Cell: 4.642 4.642 5.494 Å, 90.00 90.00 90.00°
Space group P4/mmm (No. 123)
Asymmetric unit:
Ba1 0.000 0.000 0.000 x1
Hf1 0.000 0.000 0.500 x1
Tc1 0.000 0.500 0.500 x2
Os1 0.500 0.500 0.000 x1

## Properties
calculated volume	23.68	Å³ per atom
energy	-6.990	eV per atom
energy of formation	2490	meV per atom
total magnetization	0.65	Bohr magnetons per cell